[1]
The following is a PBE calculation of a relaxed Cu5NiS4 crystal, from the Alexandria database.

Cell lengths 7.555, 7.595, 5.480 Å; angles 90.00, 90.00, 90.00 degrees
Atoms (fractional coordinates):
Cu 0.001 0.013 0.248
Cu 0.001 0.487 0.248
Cu 0.250 0.250 0.727
Cu 0.499 0.013 0.248
Cu 0.499 0.487 0.248
Cu 0.501 0.513 0.752
Cu 0.501 0.987 0.752
Cu 0.750 0.750 0.273
Cu 0.999 0.513 0.752
Cu 0.999 0.987 0.752
Ni 0.250 0.750 0.251
Ni 0.750 0.250 0.749
S 0.009 0.750 0.490
S 0.250 0.507 0.001
S 0.250 0.993 0.001
S 0.491 0.750 0.490
S 0.509 0.250 0.510
S 0.750 0.007 0.999
S 0.750 0.493 0.999
S 0.991 0.250 0.510

Calculated values
Space-group type = No. 59
Formation energy from raw total energies = -1.41 eV per formula unit

=====

[2]
The following is a PBE calculation of a relaxed Sr3ScB2O8 crystal, from the Alexandria database.

Cell lengths 5.354, 5.354, 6.860 Å; angles 90.00, 90.00, 120.00 degrees
Atoms (fractional coordinates):
Sr 0.000 0.000 0.000
Sr 0.333 0.667 0.678
Sr 0.667 0.333 0.322
Sc 0.000 0.000 0.500
B 0.333 0.667 0.241
B 0.667 0.333 0.759
O 0.181 0.362 0.318
O 0.181 0.819 0.318
O 0.333 0.667 0.029
O 0.362 0.181 0.682
O 0.638 0.819 0.318
O 0.667 0.333 0.971
O 0.819 0.181 0.682
O 0.819 0.638 0.682

Calculated values
Space-group type = No. 164
Formation energy from raw total energies = -38.87 eV per formula unit

=====

[3]
The following is a PBE calculation of a relaxed Ir3Pt2Rh2 crystal, from the Alexandria database.

Cell lengths 10.055, 10.055, 2.730 Å; angles 90.00, 90.00, 157.57 degrees
Atoms (fractional coordinates):
Ir 0.000 0.000 0.000
Ir 0.432 0.568 0.500
Ir 0.568 0.432 0.500
Pt 0.294 0.706 0.500
Pt 0.706 0.294 0.500
Rh 0.136 0.864 0.000
Rh 0.864 0.136 0.000

Calculated values
Space-group type = No. 65
Energy = -7.582 eV per atom

=====

[4]
The following is a PBE calculation of a relaxed CsPuF3 crystal, from the Alexandria database.

Cell lengths 4.872, 4.872, 4.872 Å; angles 90.00, 90.00, 90.00 degrees
Atoms (fractional coordinates):
Cs 0.000 0.000 0.000
Pu 0.500 0.500 0.500
F 0.000 0.500 0.500
F 0.500 0.000 0.500
F 0.500 0.500 0.000

Calculated values
Offset from the most stable computed form = 0.0577 eV/atom
Space-group type = No. 221
Formation energy from raw total energies = -14.52 eV per formula unit

=====

[5]
The following is a PBE calculation of a relaxed Li2HPd3 crystal, from the Alexandria database.

Cell lengths 5.438, 5.438, 5.887 Å; angles 90.00, 90.00, 120.00 degrees
Atoms (fractional coordinates):
Li 0.333 0.667 0.068
Li 0.333 0.667 0.432
Li 0.667 0.333 0.568
Li 0.667 0.333 0.932
H 0.000 0.000 0.000
H 0.000 0.000 0.500
Pd 0.162 0.325 0.750
Pd 0.162 0.838 0.750
Pd 0.325 0.162 0.250
Pd 0.675 0.838 0.750
Pd 0.838 0.162 0.250
Pd 0.838 0.675 0.250

Calculated values
Space-group type = No. 194
Energy = -3.946 eV per atom

=====

[6]
The following is a PBE calculation of a relaxed Cd3CuSe crystal, from the Alexandria database.

Cell lengths 5.008, 5.008, 5.008 Å; angles 90.00, 90.00, 90.00 degrees
Atoms (fractional coordinates):
Cd 0.000 0.000 0.500
Cd 0.000 0.500 0.000
Cd 0.500 0.000 0.000
Cu 0.000 0.000 0.000
Se 0.500 0.500 0.500

Calculated values
Offset from the most stable computed form = 0.0000 eV/atom
Space-group type = No. 221
Formation energy from raw total energies = 1.16 eV per formula unit

=====

[7]
The following is a PBE calculation of a relaxed Bi3Pb7 crystal, from the Alexandria database.

Cell lengths 6.979, 8.761, 11.152 Å; angles 108.48, 90.29, 91.25 degrees
Atoms (fractional coordinates):
Bi 0.000 0.000 0.000
Bi 0.015 0.785 0.409
Bi 0.161 0.129 0.311
Bi 0.489 0.600 0.808
Bi 0.517 0.189 0.599
Bi 0.651 0.718 0.116
Pb 0.177 0.720 0.117
Pb 0.198 0.318 0.919
Pb 0.218 0.923 0.710
Pb 0.222 0.505 0.517
Pb 0.467 0.398 0.206
Pb 0.489 0.007 0.999
Pb 0.497 0.800 0.415
Pb 0.686 0.107 0.306
Pb 0.703 0.324 0.908
Pb 0.715 0.514 0.515
Pb 0.718 0.907 0.719
Pb 0.960 0.407 0.205
Pb 0.993 0.198 0.608
Pb 0.996 0.605 0.803

Calculated values
Offset from the most stable computed form = 0.0000 eV/atom
Space-group type = No. 1

=====

[8]
The following is a PBE calculation of a relaxed ZrOsPt2 crystal, from the Alexandria database.

Cell lengths 9.604, 9.604, 9.604 Å; angles 17.01, 17.01, 17.01 degrees
Atoms (fractional coordinates):
Zr 0.000 0.000 0.000
Os 0.755 0.755 0.755
Pt 0.249 0.249 0.249
Pt 0.499 0.499 0.499

Calculated values
Space-group type = No. 160
Energy = -8.022 eV per atom

=====

[9]
The following is a PBE calculation of a relaxed Ac2Ga9Pd3 crystal, from the Alexandria database.

Cell lengths 7.946, 7.946, 10.931 Å; angles 111.02, 111.02, 60.00 degrees
Atoms (fractional coordinates):
Ac 0.085 0.250 0.251
Ac 0.250 0.085 0.751
Ac 0.750 0.915 0.249
Ac 0.915 0.750 0.749
Ga 0.035 0.848 0.075
Ga 0.152 0.965 0.425
Ga 0.202 0.359 0.576
Ga 0.222 0.579 0.252
Ga 0.318 0.482 0.946
Ga 0.359 0.202 0.076
Ga 0.382 0.618 0.750
Ga 0.421 0.778 0.248
Ga 0.482 0.318 0.446
Ga 0.518 0.682 0.554
Ga 0.579 0.222 0.752
Ga 0.618 0.382 0.250
Ga 0.641 0.798 0.924
Ga 0.682 0.518 0.054
Ga 0.778 0.421 0.748
Ga 0.798 0.641 0.424
Ga 0.848 0.035 0.575
Ga 0.965 0.152 0.925
Pd 0.000 0.500 0.000
Pd 0.164 0.668 0.499
Pd 0.332 0.836 0.001
Pd 0.500 0.000 0.500
Pd 0.668 0.164 0.999
Pd 0.836 0.332 0.501

Calculated values
Space-group type = No. 15
Energy = -4.228 eV per atom

=====

[10]
The following is a PBE calculation of a relaxed Tb4AuC crystal, from the Alexandria database.

Cell lengths 8.032, 8.032, 6.330 Å; angles 105.81, 105.81, 118.31 degrees
Atoms (fractional coordinates):
Tb 0.062 0.660 0.852
Tb 0.185 0.277 0.698
Tb 0.277 0.185 0.198
Tb 0.340 0.938 0.648
Tb 0.660 0.062 0.352
Tb 0.723 0.815 0.802
Tb 0.815 0.723 0.302
Tb 0.938 0.340 0.148
Au 0.378 0.622 0.250
Au 0.622 0.378 0.750
C 0.064 0.936 0.750
C 0.936 0.064 0.250

Calculated values
Space-group type = No. 15
Energy = -5.499 eV per atom

=====

[11]
The following is a PBE calculation of a relaxed Ca8Al2Ge crystal, from the Alexandria database.

Cell lengths 9.585, 9.585, 9.585 Å; angles 146.92, 134.38, 57.50 degrees
Atoms (fractional coordinates):
Ca 0.126 0.363 0.764
Ca 0.193 0.193 0.000
Ca 0.257 0.000 0.257
Ca 0.401 0.637 0.764
Ca 0.599 0.363 0.236
Ca 0.743 0.000 0.743
Ca 0.807 0.807 0.000
Ca 0.874 0.637 0.236
Al 0.318 0.818 0.500
Al 0.682 0.182 0.500
Ge 0.000 0.500 0.500

Calculated values
Space-group type = No. 71
Energy = -2.748 eV per atom

=====

[12]
The following is a PBE calculation of a relaxed Hf7Al2Co2 crystal, from the Alexandria database.

Cell lengths 6.175, 6.175, 6.219 Å; angles 90.00, 90.00, 106.75 degrees
Atoms (fractional coordinates):
Hf 0.000 0.000 0.000
Hf 0.000 0.500 0.251
Hf 0.000 0.500 0.749
Hf 0.500 0.000 0.251
Hf 0.500 0.000 0.749
Hf 0.500 0.500 0.247
Hf 0.500 0.500 0.753
Al 0.172 0.172 0.500
Al 0.828 0.828 0.500
Co 0.284 0.716 0.000
Co 0.716 0.284 0.000

Calculated values
Space-group type = No. 65
Energy = -8.327 eV per atom

=====

[13]
The following is a PBE calculation of a relaxed HgGe2I crystal, from the Alexandria database.

Cell lengths 8.210, 8.210, 8.210 Å; angles 134.55, 134.55, 66.23 degrees
Atoms (fractional coordinates):
Hg 0.000 0.000 0.000
Hg 0.750 0.250 0.500
Ge 0.075 0.625 0.950
Ge 0.375 0.325 0.450
Ge 0.675 0.125 0.050
Ge 0.875 0.925 0.550
I 0.250 0.750 0.500
I 0.500 0.500 0.000

Calculated values
Offset from the most stable computed form = 0.0000 eV/atom
Space-group type = No. 122
Formation energy from raw total energies = 1.87 eV per formula unit

=====

[14]
The following is a PBE calculation of a relaxed Cs3Sm3SnSe8 crystal, from the Alexandria database.

Cell lengths 9.901, 9.901, 9.901 Å; angles 50.88, 50.88, 50.88 degrees
Atoms (fractional coordinates):
Cs 0.000 0.500 0.500
Cs 0.500 0.000 0.500
Cs 0.500 0.500 0.000
Sm 0.000 0.000 0.500
Sm 0.000 0.500 0.000
Sm 0.500 0.000 0.000
Sn 0.500 0.500 0.500
Se 0.229 0.229 0.229
Se 0.245 0.719 0.719
Se 0.281 0.281 0.755
Se 0.281 0.755 0.281
Se 0.719 0.245 0.719
Se 0.719 0.719 0.245
Se 0.755 0.281 0.281
Se 0.771 0.771 0.771

Calculated values
Space-group type = No. 166
Formation energy from raw total energies = -21.51 eV per formula unit

=====

[15]
The following is a PBE calculation of a relaxed Sr2NbPt crystal, from the Alexandria database.

Cell lengths 8.290, 8.290, 8.290 Å; angles 95.30, 95.30, 144.60 degrees
Atoms (fractional coordinates):
Sr 0.375 0.218 0.343
Sr 0.782 0.125 0.157
Sr 0.875 0.032 0.657
Sr 0.968 0.625 0.843
Nb 0.250 0.750 0.500
Nb 0.500 0.500 0.000
Pt 0.000 0.000 0.000
Pt 0.750 0.250 0.500

Calculated values
Offset from the most stable computed form = 0.0000 eV/atom
Space-group type = No. 122